## 1
## LaHoErCd (GGA-PBE)

Data for a relaxed structure of LaHoErCd.

Unit cell a=5.5265 b=5.5265 c=5.5265 alpha=60.00 beta=60.00 gamma=60.00
Sites, in units of the cell vectors:
Ho 0.5000 0.5000 0.5000
La 0.2500 0.2500 0.2500
Er 0.7500 0.7500 0.7500
Cd 0.0000 0.0000 0.0000

## Properties
Calculated density   8118 kg/m³
Total magnetic moment   0.00 μB/cell
Calculated volume   29.84 Å³/atom

## 2
## LaHoErCd (GGA-PBE)

Data for a relaxed structure of LaHoErCd.

Unit cell a=3.6713 b=3.6713 c=8.8996 alpha=90.00 beta=90.00 gamma=90.00
Sites, in units of the cell vectors:
La 0.0000 0.0000 0.0720
Ho 0.5000 0.5000 0.7860
Cd 0.0000 0.0000 0.5700
Er 0.5000 0.5000 0.3568

## Properties
Calculated density   8078 kg/m³
Total magnetic moment   0.00 μB/cell
Calculated volume   29.99 Å³/atom

Stability summary - winner: 2; margin: 105 meV/atom.

## 1
## NdHoErCd (GGA-PBE)

Data for a relaxed structure of NdHoErCd.

Unit cell a=5.4798 b=5.4798 c=5.4798 alpha=60.00 beta=60.00 gamma=60.00
Sites, in units of the cell vectors:
Cd 0.0000 0.0000 0.0000
Er 0.2500 0.2500 0.2500
Ho 0.5000 0.5000 0.5000
Nd 0.7500 0.7500 0.7500

## Properties
Calculated density   8403 kg/m³
Total magnetic moment   0.00 μB/cell
Calculated volume   29.09 Å³/atom

## 2
## NdHoErCd (GGA-PBE)

Data for a relaxed structure of NdHoErCd.

Unit cell a=3.6137 b=3.6137 c=9.0146 alpha=90.00 beta=90.00 gamma=90.00
Sites, in units of the cell vectors:
Cd 0.0000 0.0000 0.5698
Er 0.5000 0.5000 0.3509
Ho 0.5000 0.5000 0.7919
Nd 0.0000 0.0000 0.0721

## Properties
Calculated density   8306 kg/m³
Total magnetic moment   0.00 μB/cell
Calculated volume   29.43 Å³/atom

Stability summary - winner: 2; margin: 129 meV/atom.

## 1
## HoErCdNi (GGA-PBE)

Data for a relaxed structure of HoErCdNi.

Unit cell a=5.0175 b=5.0175 c=5.0175 alpha=60.00 beta=60.00 gamma=60.00
Sites, in units of the cell vectors:
Ho 0.2500 0.2500 0.2500
Ni 0.5000 0.5000 0.5000
Er 0.7500 0.7500 0.7500
Cd 0.0000 0.0000 0.0000

## Properties
Calculated density   9357 kg/m³
Total magnetic moment   0.00 μB/cell
Calculated volume   22.33 Å³/atom

## 2
## HoErCdNi (GGA-PBE)

Data for a relaxed structure of HoErCdNi.

Unit cell a=3.4264 b=3.4264 c=7.5840 alpha=90.00 beta=90.00 gamma=90.00
Sites, in units of the cell vectors:
Cd 0.0000 0.0000 0.0731
Ni 0.0000 0.0000 0.5688
Er 0.5000 0.5000 0.3598
Ho 0.5000 0.5000 0.7830

## Properties
Calculated density   9386 kg/m³
Total magnetic moment   0.00 μB/cell
Calculated volume   22.26 Å³/atom

Stability summary - winner: 2; margin: 108 meV/atom.

## 1
## HoErCdOs (GGA-PBE)

Data for a relaxed structure of HoErCdOs.

Unit cell a=3.4274 b=3.4274 c=7.7259 alpha=90.00 beta=90.00 gamma=90.00
Sites, in units of the cell vectors:
Ho 0.5000 0.5000 0.7838
Er 0.5000 0.5000 0.3584
Cd 0.0000 0.0000 0.0727
Os 0.0000 0.0000 0.5698

## Properties
Calculated density   11615 kg/m³
Total magnetic moment   0.00 μB/cell
Calculated volume   22.69 Å³/atom

## 2
## HoErCdOs (GGA-PBE)

Data for a relaxed structure of HoErCdOs.

Unit cell a=4.9812 b=4.9812 c=4.9812 alpha=60.00 beta=60.00 gamma=60.00
Sites, in units of the cell vectors:
Er 0.7500 0.7500 0.7500
Os 0.0000 0.0000 0.0000
Ho 0.2500 0.2500 0.2500
Cd 0.5000 0.5000 0.5000

## Properties
Calculated density   12062 kg/m³
Total magnetic moment   0.00 μB/cell
Calculated volume   21.85 Å³/atom

Stability summary - winner: 1; margin: 100 meV/atom.

## 1
## HoErCdPd (GGA-PBE)

Data for a relaxed structure of HoErCdPd.

Unit cell a=3.5731 b=3.5731 c=7.3263 alpha=90.00 beta=90.00 gamma=90.00
Sites, in units of the cell vectors:
Cd 0.0000 0.0000 0.8553
Er 0.5000 0.5000 0.5831
Ho 0.5000 0.5000 0.1303
Pd 0.0000 0.0000 0.3593

## Properties
Calculated density   9782 kg/m³
Total magnetic moment   0.00 μB/cell
Calculated volume   23.38 Å³/atom

## 2
## HoErCdPd (GGA-PBE)

Data for a relaxed structure of HoErCdPd.

Unit cell a=5.0905 b=5.0905 c=5.0905 alpha=60.00 beta=60.00 gamma=60.00
Sites, in units of the cell vectors:
Cd 0.7500 0.7500 0.7500
Ho 0.5000 0.5000 0.5000
Er 0.0000 0.0000 0.0000
Pd 0.2500 0.2500 0.2500

## Properties
Calculated density   9810 kg/m³
Total magnetic moment   0.00 μB/cell
Calculated volume   23.32 Å³/atom

Stability summary - winner: 1; margin: 55 meV/atom.

## 1
## PmHoErCd (GGA-PBE)

Data for a relaxed structure of PmHoErCd.

Unit cell a=3.5998 b=3.5998 c=9.0233 alpha=90.00 beta=90.00 gamma=90.00
Sites, in units of the cell vectors:
Ho 0.5000 0.5000 0.7936
Cd 0.0000 0.0000 0.5700
Er 0.5000 0.5000 0.3492
Pm 0.0000 0.0000 0.0719

## Properties
Calculated density   8373 kg/m³
Total magnetic moment   0.00 μB/cell
Calculated volume   29.23 Å³/atom

## 2
## PmHoErCd (GGA-PBE)

Data for a relaxed structure of PmHoErCd.

Unit cell a=5.4652 b=5.4652 c=5.4652 alpha=60.00 beta=60.00 gamma=60.00
Sites, in units of the cell vectors:
Cd 0.7500 0.7500 0.7500
Pm 0.0000 0.0000 0.0000
Ho 0.5000 0.5000 0.5000
Er 0.2500 0.2500 0.2500

## Properties
Calculated density   8482 kg/m³
Total magnetic moment   0.00 μB/cell
Calculated volume   28.86 Å³/atom

Stability summary - winner: 1; margin: 121 meV/atom.

## 1
## HoErCdRu (GGA-PBE)

Data for a relaxed structure of HoErCdRu.

Unit cell a=3.4376 b=3.4376 c=7.6431 alpha=90.00 beta=90.00 gamma=90.00
Sites, in units of the cell vectors:
Ho 0.5000 0.5000 0.7860
Er 0.5000 0.5000 0.3563
Cd 0.0000 0.0000 0.0725
Ru 0.0000 0.0000 0.5698

## Properties
Calculated density   10032 kg/m³
Total magnetic moment   0.00 μB/cell
Calculated volume   22.58 Å³/atom

## 2
## HoErCdRu (GGA-PBE)

Data for a relaxed structure of HoErCdRu.

Unit cell a=4.9980 b=4.9980 c=4.9980 alpha=60.00 beta=60.00 gamma=60.00
Sites, in units of the cell vectors:
Er 0.5000 0.5000 0.5000
Ru 0.7500 0.7500 0.7500
Cd 0.2500 0.2500 0.2500
Ho 0.0000 0.0000 0.0000

## Properties
Calculated density   10264 kg/m³
Total magnetic moment   0.00 μB/cell
Calculated volume   22.07 Å³/atom

Stability summary - winner: 1; margin: 121 meV/atom.